Entry 1:
VASP calculation (GGA-PBE) on crystalline MgSb2AsI at its relaxed geometry.

Geometry as CIF:
```
data_MgSb2AsI
_chemical_formula_sum 'Mg1 Sb2 As1 I1'
_cell_length_a 5.4796
_cell_length_b 5.4796
_cell_length_c 5.3014
_cell_angle_alpha 90.00
_cell_angle_beta 90.00
_cell_angle_gamma 90.00
_space_group_name_H-M_alt 'P 1'
_space_group_IT_number 1
loop_
_space_group_symop_operation_xyz
'x,y,z'
loop_
_atom_site_label
_atom_site_fract_x
_atom_site_fract_y
_atom_site_fract_z
Mg1 0.0000 0.0000 0.0000
Sb1 0.0000 0.5000 0.0000
Sb2 0.5000 0.0000 0.0000
As1 0.5000 0.5000 0.5000
I1 0.0000 0.0000 0.5000
```

Results
- Total DFT energy (no corrections): -0.094 hartree per atom
- Density: 4.90 g/cm3
- Crystal system: tetragonal
- DOS at the Fermi energy: 4.634 states/eV/f.u.
- Symmetry: P4/mmm, No. 123
- M_tot: 0.000 μB/f.u.
- Uncorrected formation energy: 0.65 eV per atom
- Energy relative to the lowest polymorph listed for this composition: 0.72 eV/f.u.

***

Entry 2:
VASP calculation (GGA-PBE) on crystalline MgSbAsI2 at its relaxed geometry.

Geometry as CIF:
```
data_MgSbAsI2
_chemical_formula_sum 'Mg1 Sb1 As1 I2'
_cell_length_a 5.6054
_cell_length_b 5.6054
_cell_length_c 5.6420
_cell_angle_alpha 90.00
_cell_angle_beta 90.00
_cell_angle_gamma 90.00
_space_group_name_H-M_alt 'P 1'
_space_group_IT_number 1
loop_
_space_group_symop_operation_xyz
'x,y,z'
loop_
_atom_site_label
_atom_site_fract_x
_atom_site_fract_y
_atom_site_fract_z
Mg1 0.0000 0.0000 0.0000
Sb1 0.5000 0.5000 0.0000
As1 0.5000 0.5000 0.5000
I1 0.0000 0.5000 0.5000
I2 0.5000 0.0000 0.5000
```

Results
- Total DFT energy (no corrections): -0.088 hartree per atom
- Density: 4.45 g/cm3
- Crystal system: tetragonal
- DOS at the Fermi energy: 4.197 states/eV/f.u.
- Symmetry: P4/mmm, No. 123
- M_tot: 0.000 μB/f.u.
- Uncorrected formation energy: 0.30 eV per atom
- Energy relative to the lowest polymorph listed for this composition: 0.00 eV/f.u.

***

Entry 3:
VASP calculation (GGA-PBE) on crystalline MgAsSe2I at its relaxed geometry.

Geometry as CIF:
```
data_MgAsSe2I
_chemical_formula_sum 'Mg1 As1 Se2 I1'
_cell_length_a 4.9535
_cell_length_b 4.9535
_cell_length_c 5.5226
_cell_angle_alpha 90.00
_cell_angle_beta 90.00
_cell_angle_gamma 90.00
_space_group_name_H-M_alt 'P 1'
_space_group_IT_number 1
loop_
_space_group_symop_operation_xyz
'x,y,z'
loop_
_atom_site_label
_atom_site_fract_x
_atom_site_fract_y
_atom_site_fract_z
Mg1 0.0000 0.0000 0.0000
As1 0.0000 0.0000 0.5000
Se1 0.0000 0.5000 0.0000
Se2 0.5000 0.0000 0.0000
I1 0.5000 0.5000 0.5000
```

Results
- Total DFT energy (no corrections): -0.095 hartree per atom
- Density: 4.71 g/cm3
- Crystal system: tetragonal
- DOS at the Fermi energy: 6.157 states/eV/f.u.
- Symmetry: P4/mmm, No. 123
- M_tot: 0.000 μB/f.u.
- Uncorrected formation energy: 0.36 eV per atom
- Energy relative to the lowest polymorph listed for this composition: 0.00 eV/f.u.

***

Entry 4:
VASP calculation (GGA-PBE) on crystalline SrMgAsI at its relaxed geometry.

Geometry as CIF:
```
data_SrMgAsI
_chemical_formula_sum 'Sr2 Mg2 As2 I2'
_cell_length_a 15.7882
_cell_length_b 15.7882
_cell_length_c 15.7882
_cell_angle_alpha 16.47
_cell_angle_beta 16.47
_cell_angle_gamma 16.47
_space_group_name_H-M_alt 'P 1'
_space_group_IT_number 1
loop_
_space_group_symop_operation_xyz
'x,y,z'
loop_
_atom_site_label
_atom_site_fract_x
_atom_site_fract_y
_atom_site_fract_z
Sr1 0.0793 0.0793 0.0793
Sr2 0.9207 0.9207 0.9207
Mg1 0.3130 0.3130 0.3130
Mg2 0.6870 0.6870 0.6870
As1 0.3712 0.3712 0.3712
As2 0.6288 0.6288 0.6288
I1 0.2123 0.2123 0.2123
I2 0.7877 0.7877 0.7877
```

Results
- Total DFT energy (no corrections): -0.132 hartree per atom
- Density: 3.78 g/cm3
- Crystal system: trigonal
- DOS at the Fermi energy: 0.000 states/eV/f.u.
- Symmetry: R-3m, No. 166
- M_tot: 0.000 μB/f.u.
- Uncorrected formation energy: -1.23 eV per atom

***

Entry 5:
VASP calculation (GGA-PBE) on crystalline MgTeAsI2 at its relaxed geometry.

Geometry as CIF:
```
data_MgTeAsI2
_chemical_formula_sum 'Mg1 Te1 As1 I2'
_cell_length_a 5.5683
_cell_length_b 5.5683
_cell_length_c 5.7502
_cell_angle_alpha 90.00
_cell_angle_beta 90.00
_cell_angle_gamma 90.00
_space_group_name_H-M_alt 'P 1'
_space_group_IT_number 1
loop_
_space_group_symop_operation_xyz
'x,y,z'
loop_
_atom_site_label
_atom_site_fract_x
_atom_site_fract_y
_atom_site_fract_z
Mg1 0.0000 0.0000 0.0000
Te1 0.5000 0.5000 0.0000
As1 0.5000 0.5000 0.5000
I1 0.0000 0.5000 0.5000
I2 0.5000 0.0000 0.5000
```

Results
- Total DFT energy (no corrections): -0.087 hartree per atom
- Density: 4.48 g/cm3
- Crystal system: tetragonal
- DOS at the Fermi energy: 1.776 states/eV/f.u.
- Symmetry: P4/mmm, No. 123
- M_tot: 0.000 μB/f.u.
- Uncorrected formation energy: 0.13 eV per atom
- Energy relative to the lowest polymorph listed for this composition: 0.00 eV/f.u.

***

Entry 6:
VASP calculation (GGA-PBE) on crystalline MgTeAsI2 at its relaxed geometry.

Geometry as CIF:
```
data_MgTeAsI2
_chemical_formula_sum 'Mg1 Te1 As1 I2'
_cell_length_a 5.4917
_cell_length_b 5.4917
_cell_length_c 5.9624
_cell_angle_alpha 90.00
_cell_angle_beta 90.00
_cell_angle_gamma 90.00
_space_group_name_H-M_alt 'P 1'
_space_group_IT_number 1
loop_
_space_group_symop_operation_xyz
'x,y,z'
loop_
_atom_site_label
_atom_site_fract_x
_atom_site_fract_y
_atom_site_fract_z
Mg1 0.0000 0.0000 0.0000
Te1 0.0000 0.0000 0.5000
As1 0.5000 0.5000 0.5000
I1 0.0000 0.5000 0.0000
I2 0.5000 0.0000 0.0000
```

Results
- Total DFT energy (no corrections): -0.083 hartree per atom
- Density: 4.44 g/cm3
- Crystal system: tetragonal
- DOS at the Fermi energy: 3.708 states/eV/f.u.
- Symmetry: P4/mmm, No. 123
- M_tot: 1.074 μB/f.u.
- Uncorrected formation energy: 0.24 eV per atom
- Energy relative to the lowest polymorph listed for this composition: 0.53 eV/f.u.

***

Entry 7:
VASP calculation (GGA-PBE) on crystalline MgTeAs2I at its relaxed geometry.

Geometry as CIF:
```
data_MgTeAs2I
_chemical_formula_sum 'Mg1 Te1 As2 I1'
_cell_length_a 5.3741
_cell_length_b 5.3741
_cell_length_c 5.9878
_cell_angle_alpha 90.00
_cell_angle_beta 90.00
_cell_angle_gamma 90.00
_space_group_name_H-M_alt 'P 1'
_space_group_IT_number 1
loop_
_space_group_symop_operation_xyz
'x,y,z'
loop_
_atom_site_label
_atom_site_fract_x
_atom_site_fract_y
_atom_site_fract_z
Mg1 0.0000 0.0000 0.0000
Te1 0.5000 0.5000 0.5000
As1 0.0000 0.5000 0.5000
As2 0.5000 0.0000 0.5000
I1 0.5000 0.5000 0.0000
```

Results
- Total DFT energy (no corrections): -0.089 hartree per atom
- Density: 4.12 g/cm3
- Crystal system: tetragonal
- DOS at the Fermi energy: 5.772 states/eV/f.u.
- Symmetry: P4/mmm, No. 123
- M_tot: 0.000 μB/f.u.
- Uncorrected formation energy: 0.70 eV per atom

***

Entry 8:
VASP calculation (GGA-PBE) on crystalline MgTlAsI6 at its relaxed geometry.

Geometry as CIF:
```
data_MgTlAsI6
_chemical_formula_sum 'Mg1 Tl1 As1 I6'
_cell_length_a 7.5216
_cell_length_b 7.5216
_cell_length_c 7.6954
_cell_angle_alpha 90.00
_cell_angle_beta 90.00
_cell_angle_gamma 120.00
_space_group_name_H-M_alt 'P 1'
_space_group_IT_number 1
loop_
_space_group_symop_operation_xyz
'x,y,z'
loop_
_atom_site_label
_atom_site_fract_x
_atom_site_fract_y
_atom_site_fract_z
Mg1 0.0000 0.0000 0.0000
Tl1 0.6667 0.3333 0.5000
As1 0.3333 0.6667 0.0000
I1 0.0369 0.3373 0.2182
I2 0.0369 0.6996 0.7818
I3 0.3004 0.3373 0.7818
I4 0.3004 0.9631 0.2182
I5 0.6627 0.6996 0.2182
I6 0.6627 0.9631 0.7818
```

Results
- Total DFT energy (no corrections): -0.093 hartree per atom
- Density: 4.69 g/cm3
- Crystal system: trigonal
- DOS at the Fermi energy: 0.000 states/eV/f.u.
- Symmetry: P312, No. 149
- M_tot: 0.000 μB/f.u.
- Uncorrected formation energy: -0.55 eV per atom

***

Entry 9:
VASP calculation (GGA-PBE) on crystalline MgAsW2I at its relaxed geometry.

Geometry as CIF:
```
data_MgAsW2I
_chemical_formula_sum 'Mg1 As1 W2 I1'
_cell_length_a 4.9300
_cell_length_b 4.9300
_cell_length_c 5.1787
_cell_angle_alpha 90.00
_cell_angle_beta 90.00
_cell_angle_gamma 90.00
_space_group_name_H-M_alt 'P 1'
_space_group_IT_number 1
loop_
_space_group_symop_operation_xyz
'x,y,z'
loop_
_atom_site_label
_atom_site_fract_x
_atom_site_fract_y
_atom_site_fract_z
Mg1 0.0000 0.0000 0.0000
As1 0.5000 0.5000 0.0000
W1 0.0000 0.5000 0.5000
W2 0.5000 0.0000 0.5000
I1 0.0000 0.0000 0.5000
```

Results
- Total DFT energy (no corrections): -0.161 hartree per atom
- Density: 7.83 g/cm3
- Crystal system: tetragonal
- DOS at the Fermi energy: 5.300 states/eV/f.u.
- Symmetry: P4/mmm, No. 123
- M_tot: 1.042 μB/f.u.
- Uncorrected formation energy: 2.36 eV per atom

***

Entry 10:
VASP calculation (GGA-PBE) on crystalline MnAsI2 at its relaxed geometry.

Geometry as CIF:
```
data_MnAsI2
_chemical_formula_sum 'Mn1 As1 I2'
_cell_length_a 4.9974
_cell_length_b 4.9974
_cell_length_c 4.9974
_cell_angle_alpha 60.00
_cell_angle_beta 60.00
_cell_angle_gamma 60.00
_space_group_name_H-M_alt 'P 1'
_space_group_IT_number 1
loop_
_space_group_symop_operation_xyz
'x,y,z'
loop_
_atom_site_label
_atom_site_fract_x
_atom_site_fract_y
_atom_site_fract_z
Mn1 0.0000 0.0000 0.0000
As1 0.5000 0.5000 0.5000
I1 0.2500 0.2500 0.2500
I2 0.7500 0.7500 0.7500
```

Results
- Total DFT energy (no corrections): -0.113 hartree per atom
- Density: 7.22 g/cm3
- Crystal system: cubic
- DOS at the Fermi energy: 5.816 states/eV/f.u.
- Symmetry: Fm-3m, No. 225
- M_tot: 0.000 μB/f.u.
- Uncorrected formation energy: 1.16 eV per atom
- Energy relative to the lowest polymorph listed for this composition: 2.94 eV/f.u.

***

What did the third record say?
VASP calculation (GGA-PBE) on crystalline MgAsSe2I at its relaxed geometry.

Geometry as CIF:
```
data_MgAsSe2I
_chemical_formula_sum 'Mg1 As1 Se2 I1'
_cell_length_a 4.9535
_cell_length_b 4.9535
_cell_length_c 5.5226
_cell_angle_alpha 90.00
_cell_angle_beta 90.00
_cell_angle_gamma 90.00
_space_group_name_H-M_alt 'P 1'
_space_group_IT_number 1
loop_
_space_group_symop_operation_xyz
'x,y,z'
loop_
_atom_site_label
_atom_site_fract_x
_atom_site_fract_y
_atom_site_fract_z
Mg1 0.0000 0.0000 0.0000
As1 0.0000 0.0000 0.5000
Se1 0.0000 0.5000 0.0000
Se2 0.5000 0.0000 0.0000
I1 0.5000 0.5000 0.5000
```

Results
- Total DFT energy (no corrections): -0.095 hartree per atom
- Density: 4.71 g/cm3
- Crystal system: tetragonal
- DOS at the Fermi energy: 6.157 states/eV/f.u.
- Symmetry: P4/mmm, No. 123
- M_tot: 0.000 μB/f.u.
- Uncorrected formation energy: 0.36 eV per atom
- Energy relative to the lowest polymorph listed for this composition: 0.00 eV/f.u.

***

What is the uncorrected formation energy in the eighth record? -0.55 eV per atom

***

Look up the uncorrected formation energy of the second one. 0.30 eV per atom

***

Look up the density of the fourth one. 3.78 g/cm3